# PrYTlIr PBE relaxed
data_PrYTlIr
_space_group_name_H-M_alt 'F -4 3 m'
_space_group_IT_number 216
_space_group_name_Hall 'F -4 2 3'
_cell_length_a 7.367
_cell_length_b 7.367
_cell_length_c 7.367
_cell_angle_alpha 90.00
_cell_angle_beta 90.00
_cell_angle_gamma 90.00
loop_
_atom_site_label
_atom_site_fract_x
_atom_site_fract_y
_atom_site_fract_z
Pr1 0.000 0.000 0.000
Y1 0.000 0.000 0.500
Tl1 0.250 0.250 0.750
Ir1 0.250 0.250 0.250
# VASP energy: -6.012 eV/atom
# ΔH_f (0 K): -38 kJ per mole of atoms
# Crystal system: cubic

=====

# ScPOF2 PBE relaxed
data_ScPOF2
_space_group_name_H-M_alt 'P 4/m m m'
_space_group_IT_number 123
_space_group_name_Hall '-P 4 2'
_cell_length_a 4.554
_cell_length_b 4.554
_cell_length_c 3.454
_cell_angle_alpha 90.00
_cell_angle_beta 90.00
_cell_angle_gamma 90.00
loop_
_atom_site_label
_atom_site_fract_x
_atom_site_fract_y
_atom_site_fract_z
Sc1 0.000 0.000 0.000
P1 0.500 0.500 0.500
O1 0.500 0.500 0.000
F1 0.000 0.500 0.500
# VASP energy: -5.294 eV/atom
# Crystal system: tetragonal
# Energy above the most stable polymorph in this dataset: 736.8 meV/atom

=====

# BaMgTe2 PBE relaxed
data_BaMgTe2
_space_group_name_H-M_alt 'P 1 2/m 1'
_space_group_IT_number 10
_cell_length_a 4.517
_cell_length_b 4.129
_cell_length_c 8.004
_cell_angle_alpha 90.00
_cell_angle_beta 97.35
_cell_angle_gamma 90.00
loop_
_space_group_symop_operation_xyz
'x,y,z'
'-x,-y,-z'
'-x,y,-z'
'x,-y,z'
loop_
_atom_site_label
_atom_site_fract_x
_atom_site_fract_y
_atom_site_fract_z
Ba1 0.000 0.000 0.000
Mg1 0.500 0.000 0.500
Te1 0.437 0.500 0.744
# VASP energy: -3.561 eV/atom
# Crystal system: monoclinic

=====

# Sc3TcTe PBE relaxed
data_Sc3TcTe
_space_group_name_H-M_alt 'P m -3 m'
_space_group_IT_number 221
_space_group_name_Hall '-P 4 2 3'
_cell_length_a 5.017
_cell_length_b 5.017
_cell_length_c 5.017
_cell_angle_alpha 90.00
_cell_angle_beta 90.00
_cell_angle_gamma 90.00
loop_
_atom_site_label
_atom_site_fract_x
_atom_site_fract_y
_atom_site_fract_z
Sc1 0.000 0.000 0.500
Tc1 0.000 0.000 0.000
Te1 0.500 0.500 0.500
# VASP energy: -6.593 eV/atom
# Crystal system: cubic
# Energy above the most stable polymorph in this dataset: 0.0 meV/atom

=====

Copy entry 1 word for word.
# PrYTlIr PBE relaxed
data_PrYTlIr
_space_group_name_H-M_alt 'F -4 3 m'
_space_group_IT_number 216
_space_group_name_Hall 'F -4 2 3'
_cell_length_a 7.367
_cell_length_b 7.367
_cell_length_c 7.367
_cell_angle_alpha 90.00
_cell_angle_beta 90.00
_cell_angle_gamma 90.00
loop_
_atom_site_label
_atom_site_fract_x
_atom_site_fract_y
_atom_site_fract_z
Pr1 0.000 0.000 0.000
Y1 0.000 0.000 0.500
Tl1 0.250 0.250 0.750
Ir1 0.250 0.250 0.250
# VASP energy: -6.012 eV/atom
# ΔH_f (0 K): -38 kJ per mole of atoms
# Crystal system: cubic